A plane-wave DFT calculation with PBE with a Hubbard U was carried out for HoPuCoO6 after structural relaxation.

Results
Its symmetry is P-31c, No. 163. For the total energy, the calculation gives -148.0 eV per cell. As for the total magnetic moment: 0.222 μB per atom.

```
HoPuCoO6
1.0
-0.5697 -0.0537 -5.5877
3.3568 -3.7346 2.5168
-6.7232 -5.5452 0.7388
Co O Pu Ho
2 12 2 2
Direct
0.0000 0.0000 0.0000 Co
0.0000 0.0000 0.5000 Co
0.3240 0.9675 0.6278 O
0.3565 0.3240 0.3722 O
0.3240 0.3565 0.8722 O
0.6760 0.0325 0.3722 O
0.0325 0.6760 0.8722 O
0.0325 0.3565 0.6278 O
0.6435 0.9675 0.8722 O
0.3565 0.0325 0.1278 O
0.9675 0.6435 0.3722 O
0.6435 0.6760 0.6278 O
0.9675 0.3240 0.1278 O
0.6760 0.6435 0.1278 O
0.6667 0.3333 0.2500 Pu
0.3333 0.6667 0.7500 Pu
0.6667 0.3333 0.7500 Ho
0.3333 0.6667 0.2500 Ho
```